# 1
Below is an optimized crystal structure of OsW2Br, with properties calculated at the PBE level.

Lattice parameters (Å, degrees): 5.8280 5.8280 6.8478 64.82 64.82 90.00
Element x y z (fractional)
Os 0.0000 0.0000 0.0000
Os 0.7500 0.2500 0.5000
Br 0.5000 0.5000 0.0000
Br 0.2500 0.7500 0.5000
W 0.6385 0.1250 0.2500
W 0.1115 0.6250 0.2500
W 0.3750 0.3615 0.7500
W 0.8750 0.8885 0.7500

Summary:
mass density: 11.403 g cm⁻³
E: -8.190 eV/atom
calculated volume: 92.9 Å³/f.u.
relative energy among the computed polymorphs: 888 meV/atom

***

# 2
Below is an optimized crystal structure of OsW2Br, with properties calculated at the PBE level.

Lattice parameters (Å, degrees): 5.3954 5.3954 5.3954 147.65 129.95 60.86
Element x y z (fractional)
Os 0.7500 0.2500 0.5000
Br 0.2500 0.7500 0.5000
W 0.0136 0.0136 0.0000
W 0.4864 0.4864 0.0000

Summary:
mass density: 16.592 g cm⁻³
E: -8.644 eV/atom
calculated volume: 63.8 Å³/f.u.
relative energy among the computed polymorphs: 434 meV/atom

***

# 3
Below is an optimized crystal structure of OsW2Br, with properties calculated at the PBE level.

Lattice parameters (Å, degrees): 3.1440 3.2095 7.5835 89.75 90.00 90.00
Element x y z (fractional)
Os 0.5000 0.5040 0.8220
Br 0.0000 0.4933 0.4807
W 0.0000 0.0024 0.9951
W 0.5000 0.5003 0.2021

Summary:
mass density: 13.841 g cm⁻³
E: -9.060 eV/atom
calculated volume: 76.5 Å³/f.u.
relative energy among the computed polymorphs: 18 meV/atom

***

# 4
Below is an optimized crystal structure of OsW4Br, with properties calculated at the PBE level.

Lattice parameters (Å, degrees): 5.2901 5.2901 5.2901 60.00 60.00 60.00
Element x y z (fractional)
Os 0.0000 0.0000 0.0000
W 0.8733 0.3756 0.3756
W 0.3756 0.3756 0.8733
W 0.3756 0.8733 0.3756
W 0.3756 0.3756 0.3756
Br 0.7500 0.7500 0.7500

Summary:
mass density: 15.950 g cm⁻³
E: -9.566 eV/atom
calculated volume: 104.7 Å³/f.u.

***

# 5
Below is an optimized crystal structure of OsW2Br, with properties calculated at the PBE level.

Lattice parameters (Å, degrees): 9.1129 9.1129 9.1129 18.61 18.61 18.61
Element x y z (fractional)
Os 0.7431 0.7431 0.7431
Br 0.5064 0.5064 0.5064
W 0.0016 0.0016 0.0016
W 0.2490 0.2490 0.2490

Summary:
mass density: 15.733 g cm⁻³
E: -9.061 eV/atom
calculated volume: 67.3 Å³/f.u.
relative energy among the computed polymorphs: 17 meV/atom

***

# 6
Below is an optimized crystal structure of OsW2Br, with properties calculated at the PBE level.

Lattice parameters (Å, degrees): 5.1815 5.1815 5.1815 136.36 136.36 63.43
Element x y z (fractional)
Os 0.7500 0.2500 0.5000
Br 0.2500 0.7500 0.5000
W 0.0000 0.0000 0.0000
W 0.5000 0.5000 0.0000

Summary:
mass density: 16.193 g cm⁻³
E: -8.350 eV/atom
calculated volume: 65.4 Å³/f.u.
relative energy among the computed polymorphs: 728 meV/atom

***

# 7
Below is an optimized crystal structure of Os2WBr, with properties calculated at the PBE level.

Lattice parameters (Å, degrees): 5.1202 5.1202 4.5427 86.66 86.66 32.74
Element x y z (fractional)
Os 0.0279 0.0279 0.9779
Os 0.4721 0.4721 0.5221
Br 0.2500 0.2500 0.2500
W 0.7500 0.7500 0.7500

Summary:
mass density: 16.639 g cm⁻³
E: -8.331 eV/atom
calculated volume: 64.3 Å³/f.u.
relative energy among the computed polymorphs: 236 meV/atom

***

# 8
Below is an optimized crystal structure of Os2WBr, with properties calculated at the PBE level.

Lattice parameters (Å, degrees): 4.7258 4.7258 4.7258 127.75 127.75 77.03
Element x y z (fractional)
Os 0.0000 0.0000 0.0000
Os 0.5000 0.5000 0.0000
Br 0.7500 0.2500 0.5000
W 0.2500 0.7500 0.5000

Summary:
mass density: 16.702 g cm⁻³
E: -7.947 eV/atom
calculated volume: 64.0 Å³/f.u.
relative energy among the computed polymorphs: 621 meV/atom

***

# 9
Below is an optimized crystal structure of OsW2Br, with properties calculated at the PBE level.

Lattice parameters (Å, degrees): 4.5116 3.8267 3.8267 90.00 90.00 90.00
Element x y z (fractional)
Os 0.5000 0.0000 0.5000
Br 0.5000 0.5000 0.0000
W 0.0000 0.0000 0.0000
W 0.0000 0.5000 0.5000

Summary:
mass density: 16.031 g cm⁻³
E: -8.214 eV/atom
calculated volume: 66.1 Å³/f.u.
relative energy among the computed polymorphs: 863 meV/atom

***

# 10
Below is an optimized crystal structure of OsW2Br, with properties calculated at the PBE level.

Lattice parameters (Å, degrees): 5.0442 5.0442 5.0442 133.87 133.87 67.29
Element x y z (fractional)
Os 0.7500 0.2500 0.5000
Br 0.5000 0.5000 0.0000
W 0.0000 0.0000 0.0000
W 0.2500 0.7500 0.5000

Summary:
mass density: 16.145 g cm⁻³
E: -8.300 eV/atom
calculated volume: 65.6 Å³/f.u.
relative energy among the computed polymorphs: 778 meV/atom

***

# 11
Below is an optimized crystal structure of Os2WBr, with properties calculated at the PBE level.

Lattice parameters (Å, degrees): 2.9574 2.9574 7.4950 90.00 90.00 90.00
Element x y z (fractional)
Os 0.0000 0.0000 0.0225
Os 0.0000 0.0000 0.4775
Br 0.5000 0.5000 0.7500
W 0.5000 0.5000 0.2500

Summary:
mass density: 16.319 g cm⁻³
E: -8.487 eV/atom
calculated volume: 65.6 Å³/f.u.
relative energy among the computed polymorphs: 80 meV/atom

***

# 12
Below is an optimized crystal structure of OsW2Br, with properties calculated at the PBE level.

Lattice parameters (Å, degrees): 2.9878 2.9878 7.0762 90.00 90.00 90.00
Element x y z (fractional)
Os 0.5000 0.5000 0.7500
Br 0.5000 0.5000 0.2500
W 0.0000 0.0000 0.9967
W 0.0000 0.0000 0.5033

Summary:
mass density: 16.767 g cm⁻³
E: -8.996 eV/atom
calculated volume: 63.2 Å³/f.u.
relative energy among the computed polymorphs: 82 meV/atom

***

# 13
Below is an optimized crystal structure of OsW2Br, with properties calculated at the PBE level.

Lattice parameters (Å, degrees): 5.4371 5.4371 5.4371 148.59 129.82 60.40
Element x y z (fractional)
Os 0.7421 0.2421 0.5000
Br 0.4983 0.4983 0.0000
W 0.9881 0.9881 0.0000
W 0.2714 0.7714 0.5000

Summary:
mass density: 16.608 g cm⁻³
E: -8.786 eV/atom
calculated volume: 63.8 Å³/f.u.
relative energy among the computed polymorphs: 291 meV/atom

***

# 14
Below is an optimized crystal structure of OsW2Br, with properties calculated at the PBE level.

Lattice parameters (Å, degrees): 4.5317 4.5317 4.5317 60.00 60.00 60.00
Element x y z (fractional)
Os 0.2500 0.2500 0.2500
Br 0.5000 0.5000 0.5000
W 0.0000 0.0000 0.0000
W 0.7500 0.7500 0.7500

Summary:
mass density: 16.094 g cm⁻³
E: -8.398 eV/atom
calculated volume: 65.8 Å³/f.u.
relative energy among the computed polymorphs: 680 meV/atom

***

# 15
Below is an optimized crystal structure of OsW2Br, with properties calculated at the PBE level.

Lattice parameters (Å, degrees): 8.9668 8.9668 8.9668 18.74 18.74 18.74
Element x y z (fractional)
Os 0.7500 0.7500 0.7500
Br 0.2500 0.2500 0.2500
W 0.0020 0.0020 0.0020
W 0.4980 0.4980 0.4980

Summary:
mass density: 16.282 g cm⁻³
E: -9.078 eV/atom
calculated volume: 65.1 Å³/f.u.
relative energy among the computed polymorphs: 0 meV/atom

***

# 16
Below is an optimized crystal structure of Os2WBr, with properties calculated at the PBE level.

Lattice parameters (Å, degrees): 5.1863 5.1863 4.5318 85.72 85.72 32.78
Element x y z (fractional)
Os 0.0320 0.0320 0.9522
Os 0.7626 0.7626 0.7855
Br 0.2420 0.2420 0.2491
W 0.4634 0.4634 0.5133

Summary:
mass density: 16.261 g cm⁻³
E: -8.310 eV/atom
calculated volume: 65.8 Å³/f.u.
relative energy among the computed polymorphs: 258 meV/atom

***

# 17
Below is an optimized crystal structure of OsW2Br, with properties calculated at the PBE level.

Lattice parameters (Å, degrees): 3.0036 4.5962 4.7026 90.00 90.00 90.00
Element x y z (fractional)
Os 0.0000 0.5000 0.5000
Br 0.5000 0.0000 0.5000
W 0.0000 0.0000 0.0000
W 0.5000 0.5000 0.0000

Summary:
mass density: 16.314 g cm⁻³
E: -8.558 eV/atom
calculated volume: 64.9 Å³/f.u.
relative energy among the computed polymorphs: 520 meV/atom

***

# 18
Below is an optimized crystal structure of Os2WBr, with properties calculated at the PBE level.

Lattice parameters (Å, degrees): 2.8121 2.8121 9.8864 90.00 90.00 119.40
Each line ends with the local moment (μB).
Element x y z (fractional)
Os 0.0000 0.0000 0.0311  0.27
Os 0.5000 0.5000 0.2553  0.06
Br 0.5000 0.5000 0.7304  0.00
W 0.0000 0.0000 0.4832  0.01

Summary:
mass density: 15.706 g cm⁻³
E: -8.215 eV/atom
calculated volume: 68.1 Å³/f.u.
relative energy among the computed polymorphs: 352 meV/atom

***

# 19
Below is an optimized crystal structure of Os2WBr, with properties calculated at the PBE level.

Lattice parameters (Å, degrees): 9.0840 9.0840 9.0840 18.26 18.26 18.26
Element x y z (fractional)
Os 0.9937 0.9937 0.9937
Os 0.2502 0.2502 0.2502
Br 0.7558 0.7558 0.7558
W 0.5002 0.5002 0.5002

Summary:
mass density: 16.641 g cm⁻³
E: -8.547 eV/atom
calculated volume: 64.3 Å³/f.u.
relative energy among the computed polymorphs: 20 meV/atom

***

# 20
Below is an optimized crystal structure of Os2WBr, with properties calculated at the PBE level.

Lattice parameters (Å, degrees): 2.7761 2.7761 10.5980 90.00 90.00 114.34
Element x y z (fractional)
Os 0.0000 0.0000 0.0521
Os 0.0000 0.0000 0.4479
Br 0.5000 0.5000 0.7500
W 0.5000 0.5000 0.2500

Summary:
mass density: 14.375 g cm⁻³
E: -8.385 eV/atom
calculated volume: 74.4 Å³/f.u.
relative energy among the computed polymorphs: 183 meV/atom

***

Formation energy from raw total energies list, top to bottom, in eV/atom: 1.5123, 1.0585, 0.6421, 1.2202, 0.6411, 1.3521, 0.9401, 1.3248, 1.4879, 1.4025, 0.7843, 0.7063, 0.9159, 1.3040, 0.6244, 0.9619, 1.1447, 1.0563, 0.7244, 0.8868